Entry 1:
Here is an optimized crystal structure of Al2CdCl8 from the Alexandria database. Energies are from PBE.

Lattice parameters (Å, degrees): 7.888 7.888 6.171 95.17 95.17 71.82
Fractional positions:
Al  0.190  0.190  0.151
Al  0.810  0.810  0.849
Cd  0.000  0.000  0.500
Cl  0.082  0.715  0.734
Cl  0.177  0.177  0.796
Cl  0.285  0.918  0.266
Cl  0.350  0.350  0.271
Cl  0.650  0.650  0.729
Cl  0.715  0.082  0.734
Cl  0.823  0.823  0.204
Cl  0.918  0.285  0.266

Uncorrected formation energy in eV/atom: -1.407
M_tot in μB per formula unit: 0.2

---

Entry 2:
Here is an optimized crystal structure of Al2CdCl from the Alexandria database. Energies are from PBE.

Lattice parameters (Å, degrees): 4.970 4.970 4.970 60.00 60.00 60.00
Fractional positions:
Al  0.000  0.000  0.000
Al  0.250  0.250  0.250
Cd  0.500  0.500  0.500
Cl  0.750  0.750  0.750

Uncorrected formation energy in eV/atom: 0.209
M_tot in μB per formula unit: 0.0

---

Entry 3:
Here is an optimized crystal structure of Al2CdCl from the Alexandria database. Energies are from PBE.

Lattice parameters (Å, degrees): 3.136 3.136 8.475 90.00 90.00 90.00
Fractional positions:
Al  0.000  0.000  0.244
Al  0.000  0.000  0.756
Cd  0.500  0.500  0.500
Cl  0.500  0.500  0.000

Uncorrected formation energy in eV/atom: 0.077
M_tot in μB per formula unit: 0.0

---

Question: Which value of M_tot does entry 2 give?
Answer: 0.0 μB per formula unit